Record 1
BaSr6Rh2 | Alexandria | PBE-GGA | optimized geometry; volume = 47.838 Å³/atom; DOS at the Fermi energy = 7.1 states/eV/f.u.; M_tot = 0.0 μB/f.u.; ΔE_f = -0.356 eV per atom
1.0
7.083 -0.001 3.848
2.495 6.628 3.848
-0.275 -0.191 8.949
Rh Sr Ba
2 6 1
direct
0.292 0.292 0.125
0.467 0.467 0.600
0.393 0.385 0.343
0.692 0.213 0.875
0.385 0.879 0.343
0.879 0.393 0.343
0.220 0.692 0.875
0.213 0.220 0.875
0.794 0.794 0.617


Record 2
SrHfB2 | Alexandria | PBE-GGA | optimized geometry; volume = 16.307 Å³/atom; DOS at the Fermi energy = 1.5 states/eV/f.u.; M_tot = 0.0 μB/f.u.; ΔE_f = 0.838 eV per atom
1.0
0.088 -4.471 0.643
-0.154 -1.683 4.190
-3.706 -2.149 1.437
Sr B Hf
1 2 1
direct
0.000 0.000 0.000
0.750 0.750 0.750
0.250 0.250 0.250
0.500 0.500 0.500


Record 3
PmPr3Tm2 | Alexandria | PBE-GGA | optimized geometry; volume = 35.938 Å³/atom; DOS at the Fermi energy = 9.3 states/eV/f.u.; M_tot = 0.0 μB/f.u.; ΔE_f = 0.270 eV per atom; excess energy over the best structure of this formula in the dataset = 0.211 eV/atom
1.0
5.635 0.000 0.000
0.000 8.497 -3.193
0.000 -0.181 9.075
Pr Tm Pm
6 4 2
direct
0.993 0.092 0.092
0.493 0.108 0.630
0.493 0.630 0.108
0.493 0.908 0.908
0.993 0.370 0.892
0.993 0.892 0.370
0.993 0.512 0.300
0.493 0.488 0.700
0.493 0.700 0.488
0.993 0.300 0.512
0.493 0.266 0.266
0.993 0.734 0.734


Record 4
Ba3As4Pb2 | Alexandria | PBE-GGA | optimized geometry; volume = 33.973 Å³/atom; DOS at the Fermi energy = 1.2 states/eV/f.u.; M_tot = 0.0 μB/f.u.; ΔE_f = -0.740 eV per atom
1.0
-2.053 -4.213 0.626
4.226 -5.337 -4.209
6.376 -5.031 4.910
Pb As Ba
2 4 3
direct
0.666 0.062 0.606
0.334 0.938 0.394
0.969 0.665 0.397
0.328 0.231 0.113
0.672 0.769 0.887
0.031 0.335 0.603
0.349 0.550 0.753
0.651 0.450 0.247
0.000 0.000 0.000